1.
# Sr2AgBiO5 (GGA-PBE, optimized geometry)
# DFT total energy = -49.2 eV/f.u.
# raw formation energy = -1.591 eV per atom
# M_tot = 0.000 μB per atom
data_Sr2AgBiO5
_chemical_formula_sum 'Sr8 Ag4 Bi4 O20'
_cell_length_a 3.523
_cell_length_b 16.340
_cell_length_c 9.525
_cell_angle_alpha 90.00
_cell_angle_beta 90.00
_cell_angle_gamma 90.00
_symmetry_space_group_name_H-M 'C m c m'
_symmetry_Int_Tables_number 63
_symmetry_space_group_name_Hall '-C 2c 2'
loop_
_atom_site_label
_atom_site_fract_x
_atom_site_fract_y
_atom_site_fract_z
Sr1 0.000 0.112 0.032
Ag1 0.000 0.486 0.250
Bi1 0.000 0.234 0.750
O1 0.000 0.104 0.750
O2 0.000 0.271 0.101
O3 0.000 0.367 0.750
O4 0.000 0.500 0.000

2.
# SrAgBiO3 (GGA-PBE, optimized geometry)
# DFT total energy = -31.3 eV/f.u.
# raw formation energy = -1.333 eV per atom
# M_tot = 0.000 μB per atom
data_SrAgBiO3
_chemical_formula_sum 'Sr2 Ag2 Bi2 O6'
_cell_length_a 7.379
_cell_length_b 3.457
_cell_length_c 8.668
_cell_angle_alpha 90.00
_cell_angle_beta 95.71
_cell_angle_gamma 90.00
_symmetry_space_group_name_H-M 'P 1 21/m 1'
_symmetry_Int_Tables_number 11
loop_
_symmetry_equiv_pos_as_xyz
'x,y,z'
'-x,-y,-z'
'-x,y+1/2,-z'
'x,-y+1/2,z'
loop_
_atom_site_label
_atom_site_fract_x
_atom_site_fract_y
_atom_site_fract_z
Sr1 0.155 0.250 0.200
Ag1 0.154 0.250 0.570
Bi1 0.349 0.750 0.853
O1 0.151 0.250 0.889
O2 0.171 0.750 0.393
O3 0.404 0.750 0.103

3.
# TaAgBi2O6 (GGA-PBE, optimized geometry)
# DFT total energy = -68.4 eV/f.u.
# raw formation energy = -1.619 eV per atom
# M_tot = 0.000 μB per atom
data_TaAgBi2O6
_chemical_formula_sum 'Ta2 Ag2 Bi4 O12'
_cell_length_a 5.759
_cell_length_b 5.572
_cell_length_c 11.103
_cell_angle_alpha 90.00
_cell_angle_beta 119.53
_cell_angle_gamma 90.00
_symmetry_space_group_name_H-M 'P 1 21/c 1'
_symmetry_Int_Tables_number 14
loop_
_symmetry_equiv_pos_as_xyz
'x,y,z'
'-x,-y,-z'
'-x,y+1/2,-z+1/2'
'x,-y+1/2,z+1/2'
loop_
_atom_site_label
_atom_site_fract_x
_atom_site_fract_y
_atom_site_fract_z
Ta1 0.000 0.000 0.000
Ag1 0.500 0.000 0.500
Bi1 0.295 0.021 0.784
O1 0.042 0.671 0.350
O2 0.240 0.742 0.637
O3 0.332 0.189 0.049

4.
# TcAgBiO5 (GGA-PBE, optimized geometry)
# DFT total energy = -49.6 eV/f.u.
# raw formation energy = -0.969 eV per atom
# M_tot = 0.123 μB per atom
data_TcAgBiO5
_chemical_formula_sum 'Tc4 Ag4 Bi4 O20'
_cell_length_a 7.993
_cell_length_b 9.446
_cell_length_c 8.372
_cell_angle_alpha 90.00
_cell_angle_beta 113.44
_cell_angle_gamma 90.00
_symmetry_space_group_name_H-M 'C 1 2/c 1'
_symmetry_Int_Tables_number 15
loop_
_symmetry_equiv_pos_as_xyz
'x,y,z'
'-x,-y,-z'
'-x,y,-z+1/2'
'x,-y,z+1/2'
'x+1/2,y+1/2,z'
'-x+1/2,-y+1/2,-z'
'-x+1/2,y+1/2,-z+1/2'
'x+1/2,-y+1/2,z+1/2'
loop_
_atom_site_label
_atom_site_fract_x
_atom_site_fract_y
_atom_site_fract_z
Tc1 0.000 0.152 0.250
Ag1 0.000 0.183 0.750
Bi1 0.000 0.500 0.000
O1 0.000 0.410 0.750
O2 0.084 0.267 0.129
O3 0.174 0.042 0.404